TlSn2BiTe4 | GGA-PBE | optimized geometry

```
data_TlSn2BiTe4
_chemical_formula_sum 'Tl1 Sn2 Bi1 Te4'
_space_group_name_H-M_alt 'P 1 2/m 1'
_space_group_IT_number 10
_space_group_name_Hall '-P 2y'
_cell_length_a 7.8872
_cell_length_b 4.5521
_cell_length_c 7.9403
_cell_angle_alpha 90.00
_cell_angle_beta 109.00
_cell_angle_gamma 90.00
loop_
_atom_site_label
_atom_site_type_symbol
_atom_site_fract_x
_atom_site_fract_y
_atom_site_fract_z
Tl1 Tl 0.0000 0.0000 0.0000
Sn1 Sn 0.5000 0.0000 0.5000
Sn2 Sn 0.5000 0.5000 0.0000
Bi1 Bi 0.0000 0.5000 0.5000
Te1 Te 0.2550 0.0000 0.7438
Te2 Te 0.2624 0.5000 0.2622
```



InAg2Se | GGA-PBE | optimized geometry

```
data_InAg2Se
_chemical_formula_sum 'In3 Ag6 Se3'
_space_group_name_H-M_alt 'R -3 m'
_space_group_IT_number 166
_space_group_name_Hall '-R 3 2"'
_cell_length_a 4.2410
_cell_length_b 4.2410
_cell_length_c 17.6609
_cell_angle_alpha 90.00
_cell_angle_beta 90.00
_cell_angle_gamma 120.00
loop_
_atom_site_label
_atom_site_type_symbol
_atom_site_fract_x
_atom_site_fract_y
_atom_site_fract_z
In1 In 0.0000 0.0000 0.0000
Ag1 Ag 0.0000 0.0000 0.2422
Se1 Se 0.0000 0.0000 0.5000
```



Zr2TaSi | GGA-PBE | optimized geometry

```
data_Zr2TaSi
_chemical_formula_sum 'Zr2 Ta1 Si1'
_space_group_name_H-M_alt 'P 4 m m'
_space_group_IT_number 99
_space_group_name_Hall 'P 4 -2'
_cell_length_a 3.4726
_cell_length_b 3.4726
_cell_length_c 6.3424
_cell_angle_alpha 90.00
_cell_angle_beta 90.00
_cell_angle_gamma 90.00
loop_
_atom_site_label
_atom_site_type_symbol
_atom_site_fract_x
_atom_site_fract_y
_atom_site_fract_z
Zr1 Zr 0.0000 0.0000 0.0000
Zr2 Zr 0.5000 0.5000 0.2946
Ta1 Ta 0.5000 0.5000 0.7268
Si1 Si 0.0000 0.0000 0.5355
```



Li5B8C8 | GGA-PBE | optimized geometry

## Properties
- E_form (eV/atom) = -0.136

```
data_Li5B8C8
_chemical_formula_sum 'Li10 B16 C16'
_space_group_name_H-M_alt 'C 1 2/m 1'
_space_group_IT_number 12
_space_group_name_Hall '-C 2y'
_cell_length_a 9.3572
_cell_length_b 5.4566
_cell_length_c 8.4939
_cell_angle_alpha 90.00
_cell_angle_beta 122.29
_cell_angle_gamma 90.00
loop_
_atom_site_label
_atom_site_type_symbol
_atom_site_fract_x
_atom_site_fract_y
_atom_site_fract_z
Li1 Li 0.0000 0.0000 0.0000
Li2 Li 0.0000 0.2509 0.5000
Li3 Li 0.2500 0.2500 0.0000
B1 B 0.0428 0.0000 0.7521
B2 B 0.0450 0.5000 0.7597
B3 B 0.2081 0.2513 0.2541
C1 C 0.0348 0.2499 0.2418
C2 C 0.2075 0.0000 0.7436
C3 C 0.2116 0.5000 0.7523
```



| no. | final energy (Ha/atom) |
| --- | --- |
| 1 | -0.1326 |
| 2 | -0.1092 |
| 3 | -0.3261 |
| 4 | -0.2443 |